1.
Below is an optimized crystal structure of CsNpTl2O8, with properties calculated at the PBE level.

**Energy relative to the elements, uncorrected**: -1.36 eV per atom
**ρ**: 6.60 Mg/m³
**Spin magnetization**: 0.1 μB/f.u.

a = 5.220 Å, b = 5.279 Å, c = 8.289 Å
α = 93.50°, β = 90.64°, γ = 90.55°
Fractional coordinates of all 12 atoms:
Cs (0.000, 0.000, 0.000)
Np (0.000, 0.000, 0.500)
Tl (0.496, 0.499, 0.694)
Tl (0.504, 0.501, 0.306)
O (0.180, 0.191, 0.682)
O (0.185, 0.164, 0.337)
O (0.296, 0.698, 0.502)
O (0.459, 0.397, 0.049)
O (0.541, 0.603, 0.951)
O (0.704, 0.302, 0.498)
O (0.815, 0.836, 0.663)
O (0.820, 0.809, 0.318)

=====

2.
Below is an optimized crystal structure of Tl2WBr, with properties calculated at the PBE level.

**Energy relative to the elements, uncorrected**: 1.18 eV per atom
**ρ**: 7.99 Mg/m³
**Spin magnetization**: 2.9 μB/f.u.

a = 5.593 Å, b = 5.593 Å, c = 17.866 Å
α = 90.00°, β = 90.00°, γ = 90.00°
Fractional coordinates of all 16 atoms:
Tl (0.166, 0.250, 0.125)
Tl (0.250, 0.666, 0.375)
Tl (0.250, 0.834, 0.875)
Tl (0.334, 0.250, 0.625)
Tl (0.666, 0.750, 0.625)
Tl (0.750, 0.166, 0.875)
Tl (0.750, 0.334, 0.375)
Tl (0.834, 0.750, 0.125)
W (0.000, 0.000, 0.000)
W (0.000, 0.500, 0.250)
W (0.500, 0.000, 0.750)
W (0.500, 0.500, 0.500)
Br (0.000, 0.000, 0.500)
Br (0.000, 0.500, 0.750)
Br (0.500, 0.000, 0.250)
Br (0.500, 0.500, 0.000)

=====

3.
Below is an optimized crystal structure of ErLu2Sn, with properties calculated at the PBE level.

**ρ**: 9.94 Mg/m³
**Spin magnetization**: 0.4 μB/f.u.
**Energy relative to the elements**: -0.3796 eV/atom

a = 4.737 Å, b = 4.737 Å, c = 4.732 Å
α = 90.00°, β = 90.00°, γ = 90.00°
Fractional coordinates of all 4 atoms:
Er (0.000, 0.000, 0.000)
Lu (0.000, 0.500, 0.500)
Lu (0.500, 0.000, 0.500)
Sn (0.500, 0.500, 0.000)

=====

4.
Below is an optimized crystal structure of LaSm2Te, with properties calculated at the PBE level.

**Energy relative to the elements, uncorrected**: -0.32 eV per atom
**ρ**: 6.46 Mg/m³
**Spin magnetization**: 0.7 μB/f.u.

a = 3.913 Å, b = 3.913 Å, c = 32.960 Å
α = 90.00°, β = 90.00°, γ = 120.00°
Fractional coordinates of all 12 atoms:
La (0.000, 0.000, 0.000)
La (0.333, 0.667, 0.667)
La (0.667, 0.333, 0.333)
Sm (0.000, 0.000, 0.104)
Sm (0.000, 0.000, 0.896)
Sm (0.333, 0.667, 0.563)
Sm (0.333, 0.667, 0.771)
Sm (0.667, 0.333, 0.229)
Sm (0.667, 0.333, 0.437)
Te (0.000, 0.000, 0.500)
Te (0.333, 0.667, 0.167)
Te (0.667, 0.333, 0.833)

=====

5.
Below is an optimized crystal structure of AgBi2Ir, with properties calculated at the PBE level.

**ρ**: 9.93 Mg/m³
**Spin magnetization**: 0.0 μB/f.u.
**Energy relative to the elements**: 0.4836 eV/atom

a = 6.988 Å, b = 6.988 Å, c = 9.835 Å
α = 90.00°, β = 90.00°, γ = 90.00°
Fractional coordinates of all 16 atoms:
Ag (0.000, 0.000, 0.000)
Ag (0.000, 0.500, 0.250)
Ag (0.500, 0.000, 0.750)
Ag (0.500, 0.500, 0.500)
Bi (0.223, 0.250, 0.625)
Bi (0.250, 0.723, 0.875)
Bi (0.250, 0.777, 0.375)
Bi (0.277, 0.250, 0.125)
Bi (0.723, 0.750, 0.125)
Bi (0.750, 0.223, 0.375)
Bi (0.750, 0.277, 0.875)
Bi (0.777, 0.750, 0.625)
Ir (0.000, 0.000, 0.500)
Ir (0.000, 0.500, 0.750)
Ir (0.500, 0.000, 0.250)
Ir (0.500, 0.500, 0.000)

=====

6.
Below is an optimized crystal structure of MnSi2Tc, with properties calculated at the PBE level.

**Energy relative to the elements, uncorrected**: 0.07 eV per atom
**ρ**: 6.61 Mg/m³
**Spin magnetization**: 2.2 μB/f.u.

a = 5.944 Å, b = 5.944 Å, c = 5.944 Å
α = 90.00°, β = 90.00°, γ = 90.00°
Fractional coordinates of all 16 atoms:
Mn (0.000, 0.000, 0.000)
Mn (0.000, 0.500, 0.500)
Mn (0.500, 0.000, 0.500)
Mn (0.500, 0.500, 0.000)
Si (0.000, 0.000, 0.500)
Si (0.000, 0.500, 0.000)
Si (0.250, 0.250, 0.750)
Si (0.250, 0.750, 0.250)
Si (0.500, 0.000, 0.000)
Si (0.500, 0.500, 0.500)
Si (0.750, 0.250, 0.250)
Si (0.750, 0.750, 0.750)
Tc (0.250, 0.250, 0.250)
Tc (0.250, 0.750, 0.750)
Tc (0.750, 0.250, 0.750)
Tc (0.750, 0.750, 0.250)

=====

no.,calculated volume (Å³/atom)
1,19.00
2,34.93
3,26.55
4,36.43
5,30.02
6,13.12